{
  "formula": "KRh2",
  "functional": "GGA-PBE",
  "state": "relaxed",
  "formation_enthalpy_0k_ev_per_atom": 0.492,
  "dos_at_fermi_per_ev_atom": 1.198,
  "e_tot_ev_per_atom": -4.77,
  "cell": [[6.4793, 0.0445, 0.0000], [4.7174, 4.4419, 0.0000], [-5.5983, -2.2432, 2.3686]],
  "species": ["K", "Rh", "Rh"],
  "frac_coords": [[0.0000, 0.0000, 0.0000], [0.2855, 0.2855, 0.0000], [0.7145, 0.7145, 0.0000]]
}

=====

{
  "formula": "KRh3",
  "functional": "GGA-PBE",
  "state": "relaxed",
  "formation_enthalpy_0k_ev_per_atom": 0.654,
  "dos_at_fermi_per_ev_atom": 1.589,
  "e_tot_ev_per_atom": -5.13,
  "e_above_lowest_polymorph_mev_per_atom": 216,
  "cell": [[-1.6449, 0.5449, 5.6148], [2.9928, -2.5344, 4.3759], [-0.5435, 3.7918, -4.4560]],
  "species": ["Rh", "Rh", "Rh", "K"],
  "frac_coords": [[0.5000, 0.5000, 0.0000], [0.2813, 0.7813, 0.5000], [0.7187, 0.2187, 0.5000], [0.0000, 0.0000, 0.0000]]
}

=====

{
  "formula": "KRh2",
  "functional": "GGA-PBE",
  "state": "relaxed",
  "formation_enthalpy_0k_ev_per_atom": 1.290,
  "dos_at_fermi_per_ev_atom": 2.124,
  "e_tot_ev_per_atom": -3.98,
  "cell": [[-3.5913, 3.5913, 2.4331], [3.5913, -3.5913, 2.4331], [3.5913, 3.5913, -2.4331]],
  "species": ["Rh", "K", "K", "Rh", "Rh", "Rh"],
  "frac_coords": [[0.6183, 0.8817, 0.5000], [0.2500, 0.2500, 0.0000], [0.7500, 0.7500, 0.0000], [0.1183, 0.6183, 0.7367], [0.8817, 0.3817, 0.2633], [0.3817, 0.1183, 0.5000]]
}